[1]
## AlAg2Os (GGA-PBEsol)

Data for a relaxed AlAg2Os crystal.

a b c (Å): 2.869 2.869 7.405
angles (deg): 90.00 90.00 90.00
Space group P4mm (No. 99)
Unique sites:
Al1 0.000 0.000 0.000 (multiplicity 1)
Ag1 0.000 0.000 0.474 (multiplicity 1)
Ag2 0.500 0.500 0.746 (multiplicity 1)
Os1 0.500 0.500 0.207 (multiplicity 1)

[2]
## BaNbF3 (GGA-PBEsol)

Data for a relaxed BaNbF3 crystal.

Formation energy (no corrections) (eV/atom): -2.036

a b c (Å): 4.480 4.480 4.480
angles (deg): 90.00 90.00 90.00
Space group Pm-3m (No. 221)
Unique sites:
Ba1 0.000 0.000 0.000 (multiplicity 1)
Nb1 0.500 0.500 0.500 (multiplicity 1)
F1 0.000 0.500 0.500 (multiplicity 3)

[3]
## BeHgS2 (GGA-PBEsol)

Data for a relaxed BeHgS2 crystal.

E above lowest polymorph (meV per atom): 0.0
Formation energy (no corrections) (eV/atom): -0.597

a b c (Å): 5.432 5.432 10.200
angles (deg): 90.00 90.00 90.00
Space group I-42d (No. 122)
Unique sites:
Be1 0.000 0.000 0.000 (multiplicity 4)
Hg1 0.000 0.000 0.500 (multiplicity 4)
S1 0.182 0.250 0.125 (multiplicity 8)

[4]
## CuNi2H2 (GGA-PBEsol)

Data for a relaxed CuNi2H2 crystal.

a b c (Å): 2.848 2.848 9.205
angles (deg): 90.00 90.00 90.00
Space group I4/mmm (No. 139)
Unique sites:
Cu1 0.000 0.000 0.000 (multiplicity 2)
Ni1 0.000 0.000 0.347 (multiplicity 4)
H1 0.000 0.500 0.250 (multiplicity 4)

| no. | raw total energy (eV/atom) | size of the total moment (Bohr magnetons per cell) |
| --- | --- | --- |
| 1 | -5.6007 | 0.00 |
| 2 | -5.7862 | 3.68 |
| 3 | -3.9309 | 0.00 |
| 4 | -4.6769 | 0.00 |